(1)
Entry from Alexandria: crystalline Ru2WCl at its relaxed geometry (GGA-PBE).

Values from the calculation:
- Fermi-level density of states (states/eV/cell) = 2.916
- E_form (uncorrected) (eV per atom) = 0.3189
- E above lowest polymorph (eV per atom) = 0.0084
- space-group type = P4/mmm
- V (Å³/f.u.) = 65.8
- DFT total energy (eV/cell) = -32.08

POSCAR file:
```
Ru2WCl
1.0
3.068 0.000 0.000
0.000 3.068 0.000
0.000 0.000 6.989
Ru W Cl
2 1 1
Direct
0.000 0.000 0.210
0.000 0.000 0.790
0.500 0.500 0.000
0.500 0.500 0.500
```

***

(2)
Entry from Alexandria: crystalline RuW2Cl at its relaxed geometry (GGA-PBE).

Values from the calculation:
- Fermi-level density of states (states/eV/cell) = 3.238
- E_form (uncorrected) (eV per atom) = 0.4088
- E above lowest polymorph (eV per atom) = 0.1048
- space-group type = P4mm
- V (Å³/f.u.) = 63.6
- DFT total energy (eV/cell) = -35.39

POSCAR file:
```
RuW2Cl
1.0
2.882 0.000 0.000
0.000 2.882 0.000
0.000 0.000 7.661
Ru W Cl
1 2 1
Direct
0.000 0.000 0.000
0.000 0.000 0.484
0.500 0.500 0.218
0.500 0.500 0.711
```

***

(3)
Entry from Alexandria: crystalline ZrRu2WCl at its relaxed geometry (GGA-PBE).

Values from the calculation:
- Fermi-level density of states (states/eV/cell) = 7.109
- E_form (uncorrected) (eV per atom) = 1.2767
- space-group type = P4/mmm
- V (Å³/f.u.) = 117.1
- DFT total energy (eV/cell) = -35.52

POSCAR file:
```
ZrRu2WCl
1.0
4.678 0.000 0.000
0.000 4.678 0.000
0.000 0.000 5.349
Zr Ru W Cl
1 2 1 1
Direct
0.000 0.000 0.000
0.000 0.500 0.500
0.500 0.000 0.500
0.000 0.000 0.500
0.500 0.500 0.000
```

***

(4)
Entry from Alexandria: crystalline YRuCl at its relaxed geometry (GGA-PBE).

Values from the calculation:
- Fermi-level density of states (states/eV/cell) = 2.197
- E_form (uncorrected) (eV per atom) = 0.2478
- space-group type = F-43m
- V (Å³/f.u.) = 75.5
- DFT total energy (eV/cell) = -16.84

POSCAR file:
```
YRuCl
1.0
0.000 3.354 3.354
3.354 0.000 3.354
3.354 3.354 0.000
Y Ru Cl
1 1 1
Direct
0.000 0.000 0.000
0.250 0.250 0.250
0.750 0.750 0.750
```

***

(5)
Entry from Alexandria: crystalline YRuCl2 at its relaxed geometry (GGA-PBE).

Values from the calculation:
- Fermi-level density of states (states/eV/cell) = 4.214
- E_form (uncorrected) (eV per atom) = -0.4106
- E above lowest polymorph (eV per atom) = 0.4284
- space-group type = R-3m
- V (Å³/f.u.) = 80.9
- DFT total energy (eV/cell) = -21.08

POSCAR file:
```
YRuCl2
1.0
1.644 0.949 8.642
-1.644 0.949 8.642
0.000 -1.898 8.642
Y Ru Cl
1 1 2
Direct
0.000 0.000 0.000
0.500 0.500 0.500
0.410 0.410 0.410
0.590 0.590 0.590
```

***

(6)
Entry from Alexandria: crystalline Y2RuCl at its relaxed geometry (GGA-PBE).

Values from the calculation:
- Fermi-level density of states (states/eV/cell) = 2.263
- E_form (uncorrected) (eV per atom) = -0.7467
- E above lowest polymorph (eV per atom) = 0.2041
- space-group type = Imm2
- V (Å³/f.u.) = 96.9
- DFT total energy (eV/cell) = -27.04

POSCAR file:
```
Y2RuCl
1.0
-1.708 1.858 7.635
1.708 -1.858 7.635
1.708 1.858 -7.635
Y Ru Cl
2 1 1
Direct
0.000 0.000 0.000
0.787 0.287 0.500
0.413 0.413 0.000
0.161 0.661 0.500
```

***

(7)
Entry from Alexandria: crystalline Y2RuCl at its relaxed geometry (GGA-PBE).

Values from the calculation:
- Fermi-level density of states (states/eV/cell) = 2.156
- E_form (uncorrected) (eV per atom) = -0.4898
- E above lowest polymorph (eV per atom) = 0.4610
- space-group type = Immm
- V (Å³/f.u.) = 87.9
- DFT total energy (eV/cell) = -26.01

POSCAR file:
```
Y2RuCl
1.0
-2.208 2.813 3.537
2.208 -2.813 3.537
2.208 2.813 -3.537
Y Ru Cl
2 1 1
Direct
0.246 0.246 0.000
0.754 0.754 0.000
0.000 0.500 0.500
0.500 0.000 0.500
```

***

(8)
Entry from Alexandria: crystalline YRuCl2 at its relaxed geometry (GGA-PBE).

Values from the calculation:
- Fermi-level density of states (states/eV/cell) = 3.189
- E_form (uncorrected) (eV per atom) = -0.3273
- E above lowest polymorph (eV per atom) = 0.5117
- space-group type = I4/mmm
- V (Å³/f.u.) = 72.7
- DFT total energy (eV/cell) = -20.74

POSCAR file:
```
YRuCl2
1.0
-2.344 2.344 3.308
2.344 -2.344 3.308
2.344 2.344 -3.308
Y Ru Cl
1 1 2
Direct
0.000 0.000 0.000
0.500 0.500 0.000
0.250 0.750 0.500
0.750 0.250 0.500
```

***

(9)
Entry from Alexandria: crystalline YRuCl2 at its relaxed geometry (GGA-PBE).

Values from the calculation:
- Fermi-level density of states (states/eV/cell) = 1.794
- E_form (uncorrected) (eV per atom) = -0.5643
- E above lowest polymorph (eV per atom) = 0.2746
- space-group type = I-42d
- V (Å³/f.u.) = 82.6
- DFT total energy (eV/cell) = -43.38

POSCAR file:
```
YRuCl2
1.0
-2.223 2.223 8.359
2.223 -2.223 8.359
2.223 2.223 -8.359
Y Ru Cl
2 2 4
Direct
0.000 0.000 0.000
0.750 0.250 0.500
0.250 0.750 0.500
0.500 0.500 0.000
0.150 0.625 0.025
0.375 0.400 0.525
0.600 0.125 0.975
0.875 0.850 0.475
```

***

(10)
Entry from Alexandria: crystalline Y2RuCl at its relaxed geometry (GGA-PBE).

Values from the calculation:
- Fermi-level density of states (states/eV/cell) = 3.265
- E_form (uncorrected) (eV per atom) = 0.2332
- E above lowest polymorph (eV per atom) = 1.1840
- space-group type = F-43m
- V (Å³/f.u.) = 86.0
- DFT total energy (eV/cell) = -23.12

POSCAR file:
```
Y2RuCl
1.0
0.000 3.504 3.504
3.504 0.000 3.504
3.504 3.504 0.000
Y Ru Cl
2 1 1
Direct
0.000 0.000 0.000
0.250 0.250 0.250
0.500 0.500 0.500
0.750 0.750 0.750
```

***

(11)
Entry from Alexandria: crystalline YRuCl2 at its relaxed geometry (GGA-PBE).

Values from the calculation:
- Fermi-level density of states (states/eV/cell) = 1.783
- E_form (uncorrected) (eV per atom) = -0.2528
- E above lowest polymorph (eV per atom) = 0.5862
- space-group type = R-3m
- V (Å³/f.u.) = 100.7
- DFT total energy (eV/cell) = -20.44

POSCAR file:
```
YRuCl2
1.0
1.682 0.971 10.276
-1.682 0.971 10.276
0.000 -1.942 10.276
Y Ru Cl
1 1 2
Direct
0.000 0.000 0.000
0.500 0.500 0.500
0.272 0.272 0.272
0.728 0.728 0.728
```

***

(12)
Entry from Alexandria: crystalline YRuCl2 at its relaxed geometry (GGA-PBE).

Values from the calculation:
- Fermi-level density of states (states/eV/cell) = 3.712
- E_form (uncorrected) (eV per atom) = -0.2479
- E above lowest polymorph (eV per atom) = 0.5911
- space-group type = P4/mmm
- V (Å³/f.u.) = 110.2
- DFT total energy (eV/cell) = -20.42

POSCAR file:
```
YRuCl2
1.0
3.199 0.000 0.000
0.000 3.199 0.000
0.000 0.000 10.773
Y Ru Cl
1 1 2
Direct
0.000 0.000 0.000
0.000 0.000 0.500
0.500 0.500 0.152
0.500 0.500 0.848
```

***

(13)
Entry from Alexandria: crystalline YRuCl2 at its relaxed geometry (GGA-PBE).

Values from the calculation:
- Fermi-level density of states (states/eV/cell) = 2.411
- E_form (uncorrected) (eV per atom) = -0.3753
- E above lowest polymorph (eV per atom) = 0.4637
- space-group type = I-4m2
- V (Å³/f.u.) = 75.5
- DFT total energy (eV/cell) = -20.93

POSCAR file:
```
YRuCl2
1.0
-1.934 1.934 5.044
1.934 -1.934 5.044
1.934 1.934 -5.044
Y Ru Cl
1 1 2
Direct
0.000 0.000 0.000
0.750 0.250 0.500
0.250 0.750 0.500
0.500 0.500 0.000
```

***

(14)
Entry from Alexandria: crystalline YRuCl2 at its relaxed geometry (GGA-PBE).

Values from the calculation:
- Fermi-level density of states (states/eV/cell) = 1.671
- E_form (uncorrected) (eV per atom) = -0.6039
- E above lowest polymorph (eV per atom) = 0.2351
- space-group type = Cmm2
- V (Å³/f.u.) = 93.8
- DFT total energy (eV/cell) = -21.85

POSCAR file:
```
YRuCl2
1.0
2.343 -2.374 0.000
2.343 2.374 0.000
0.000 0.000 8.433
Y Ru Cl
1 1 2
Direct
0.000 0.000 0.000
0.500 0.500 0.775
0.000 0.000 0.626
0.500 0.500 0.205
```

***

(15)
Entry from Alexandria: crystalline Y2RuCl at its relaxed geometry (GGA-PBE).

Values from the calculation:
- Fermi-level density of states (states/eV/cell) = 2.532
- E_form (uncorrected) (eV per atom) = -0.9508
- E above lowest polymorph (eV per atom) = 0.0000
- space-group type = Pmmm
- V (Å³/f.u.) = 95.1
- DFT total energy (eV/cell) = -27.85

POSCAR file:
```
Y2RuCl
1.0
3.401 0.000 0.000
0.000 3.469 0.000
0.000 0.000 8.065
Y Ru Cl
2 1 1
Direct
0.000 0.000 0.206
0.000 0.000 0.794
0.500 0.500 0.000
0.500 0.000 0.500
```

***

Result set for total moment: 0.000 0.000 0.266 0.628 0.229 0.000 0.000 0.259 0.250 0.000 0.654 0.732 0.179 0.428 0.000 μB/atom, one per record in the order listed.